Entry 1:
DFT (GGA+U) results for crystalline KAc2Fe2O7 at its relaxed geometry.

Summary:
total energy	-6.6628	eV/atom
size of the total moment	9.06	μB per cell

a = 3.9953 Å, b = 6.9097 Å, c = 9.6641 Å
α = 110.95°, β = 101.93°, γ = 90.00°
With the nearest neighbours (Å) after each atom.
Element x y z (fractional)
K  0.0000  0.9020  0.0000  2 O 2.52
Ac  0.2414  0.8353  0.4828  7 O 2.46-2.65
Ac  0.7586  0.3526  0.5172  7 O 2.46-2.65
Fe  0.3987  0.4888  0.7975  5 O 1.89-2.00
Fe  0.6013  0.6914  0.2025  5 O 1.89-2.00
O  0.3184  0.6123  0.6369  1 Fe 1.99
O  0.6845  0.5831  0.3690  1 Fe 1.97
O  0.1014  0.6835  0.2029  2 Fe 2.00
O  0.6816  0.9754  0.3631  1 Fe 1.99
O  0.3155  0.2141  0.6310  1 Fe 1.97
O  0.8986  0.4806  0.7971  2 Fe 2.00
O  0.5000  0.6804  0.0000  2 Fe 1.89

=====

Entry 2:
DFT (GGA+U) results for crystalline K2Ac2FeO6 at its relaxed geometry.

Summary:
total energy	-6.2431	eV/atom
size of the total moment	3.95	μB per cell

a = 6.2070 Å, b = 6.2070 Å, c = 6.5916 Å
α = 96.28°, β = 96.28°, γ = 119.31°
With the nearest neighbours (Å) after each atom.
Element x y z (fractional)
K  0.8522  0.1478  0.0000  4 O 2.67-2.77
K  0.1478  0.8522  0.0000  4 O 2.67-2.77
Ac  0.3357  0.6643  0.5000  6 O 2.45-2.60
Ac  0.6643  0.3357  0.5000  6 O 2.45-2.60
Fe  0.0000  0.0000  0.5000  6 O 1.93-2.16
O  0.7875  0.7875  0.6730  1 Fe 1.93
O  0.0361  0.3362  0.6716  1 Fe 2.16
O  0.2125  0.2125  0.3270  1 Fe 1.93
O  0.3362  0.0361  0.6716  1 Fe 2.16
O  0.9639  0.6638  0.3284  1 Fe 2.16
O  0.6638  0.9639  0.3284  1 Fe 2.16

=====

Entry 3:
DFT (GGA+U) results for crystalline K4Ac3FeO8 at its relaxed geometry.

Summary:
total energy	-6.0576	eV/atom
size of the total moment	5.08	μB per cell

a = 7.2950 Å, b = 7.5685 Å, c = 7.5497 Å
α = 118.03°, β = 118.89°, γ = 90.00°
With the nearest neighbours (Å) after each atom.
Element x y z (fractional)
K  0.5000  0.0000  0.0000  2 O 2.61
K  0.5000  0.0000  0.5000  6 O 2.79-3.09
K  0.0000  0.0000  0.0000  6 O 2.83-3.10
K  0.0000  0.0000  0.5000  6 O 2.79-3.09
Ac  0.5000  0.5000  0.0000  6 O 2.49-2.57
Ac  0.5000  0.5000  0.5000  6 O 2.47-2.61
Ac  0.0000  0.5000  0.5000  6 O 2.47-2.61
Fe  0.0000  0.5000  0.0000  4 O 2.06
O  0.1854  0.6656  0.9591  1 Fe 2.06
O  0.2685  0.7360  0.5370  2 Ac 2.47, 1 K 2.61
O  0.2768  0.3014  0.5536  3 Ac 2.49-2.51
O  0.7737  0.6656  0.9591  1 Fe 2.06
O  0.2263  0.3344  0.0409  1 Fe 2.06
O  0.7232  0.6986  0.4464  3 Ac 2.49-2.51
O  0.7315  0.2640  0.4630  2 Ac 2.47, 1 K 2.61
O  0.8146  0.3344  0.0409  1 Fe 2.06

=====

Entry 4:
DFT (GGA+U) results for crystalline KAc2FeO5 at its relaxed geometry.

Summary:
total energy	-6.8688	eV/atom
size of the total moment	6.01	μB per cell

a = 5.8425 Å, b = 7.1850 Å, c = 7.1850 Å
α = 90.00°, β = 90.00°, γ = 90.00°
With the nearest neighbours (Å) after each atom.
Element x y z (fractional)
K  0.0000  0.5000  0.5000  10 O 2.92-3.15
K  0.0000  0.0000  0.0000  10 O 2.92-3.15
Ac  0.5000  0.6819  0.1819  8 O 2.49-2.73
Ac  0.5000  0.1819  0.3181  8 O 2.49-2.73
Ac  0.5000  0.8181  0.6819  8 O 2.49-2.73
Ac  0.5000  0.3181  0.8181  8 O 2.49-2.73
Fe  0.0000  0.0000  0.5000  4 O 1.88
Fe  0.0000  0.5000  0.0000  4 O 1.88
O  0.5000  0.5000  0.5000  4 Ac 2.63, 2 K 2.92
O  0.5000  0.0000  0.0000  4 Ac 2.63, 2 K 2.92
O  0.2342  0.1262  0.6262  1 Fe 1.88
O  0.2342  0.8738  0.3738  1 Fe 1.88
O  0.2342  0.3738  0.1262  1 Fe 1.88
O  0.2342  0.6262  0.8738  1 Fe 1.88
O  0.7658  0.1262  0.6262  1 Fe 1.88
O  0.7658  0.6262  0.8738  1 Fe 1.88
O  0.7658  0.8738  0.3738  1 Fe 1.88
O  0.7658  0.3738  0.1262  1 Fe 1.88

=====

Entry 5:
DFT (GGA+U) results for crystalline KAcFeO4 at its relaxed geometry.

Summary:
total energy	-6.3531	eV/atom
size of the total moment	8.00	μB per cell

a = 6.2644 Å, b = 5.4961 Å, c = 7.8278 Å
α = 90.00°, β = 102.34°, γ = 90.00°
With the nearest neighbours (Å) after each atom.
Element x y z (fractional)
K  0.6951  0.7500  0.9289  5 O 2.74-3.02
K  0.3049  0.2500  0.0711  5 O 2.74-3.02
Ac  0.7572  0.7500  0.4356  6 O 2.51-2.64
Ac  0.2428  0.2500  0.5644  6 O 2.51-2.64
Fe  0.2291  0.7500  0.3015  4 O 1.82-1.87
Fe  0.7709  0.2500  0.6985  4 O 1.82-1.87
O  0.9612  0.4997  0.7009  1 Fe 1.82
O  0.0388  0.9997  0.2991  1 Fe 1.82
O  0.0388  0.5003  0.2991  1 Fe 1.82
O  0.9612  0.0003  0.7009  1 Fe 1.82
O  0.4431  0.7500  0.1753  1 Fe 1.83
O  0.5569  0.2500  0.8247  1 Fe 1.83
O  0.3919  0.7500  0.5315  1 Fe 1.87
O  0.6081  0.2500  0.4685  1 Fe 1.87